(1)
The following is a PBE calculation of La3NdTh4Se8 after structural relaxation, from the Alexandria database.

Output
Energy relative to the elements, uncorrected   -1748 meV/atom
SG   No. 166
E   -105.07 eV per formula unit

Cell lengths 8.4219, 8.5558, 8.4177 Å; angles 119.44, 120.02, 90.00 degrees
Sites, in units of the cell vectors:
La 0.5000 0.5000 0.0000
La 0.5000 0.5000 0.5000
La 0.0000 0.5000 0.5000
Nd 0.0000 0.5000 0.0000
Th 0.5000 0.0000 0.0000
Th 0.5000 0.0000 0.5000
Th 0.0000 0.0000 0.0000
Th 0.0000 0.0000 0.5000
Se 0.2495 0.7522 0.0027
Se 0.2495 0.7522 0.4990
Se 0.2487 0.2461 0.4974
Se 0.7532 0.7522 0.0027
Se 0.2468 0.2478 0.9973
Se 0.7513 0.7539 0.5026
Se 0.7505 0.2478 0.5010
Se 0.7505 0.2478 0.9973

***

(2)
The following is a PBE calculation of Ac2Ce4P3N2 after structural relaxation, from the Alexandria database.

Output
Energy relative to the elements, uncorrected   -1212 meV/atom
SG   No. 139
E   -78.16 eV per formula unit

Cell lengths 4.6173, 4.6173, 12.8101 Å; angles 100.38, 100.38, 90.00 degrees
Sites, in units of the cell vectors:
Ac 0.3017 0.3017 0.6034
Ac 0.6983 0.6983 0.3966
Ce 0.4235 0.9235 0.8471
Ce 0.9235 0.4235 0.8471
Ce 0.0765 0.5765 0.1529
Ce 0.5765 0.0765 0.1529
P 0.0000 0.0000 0.0000
P 0.1667 0.1667 0.3335
P 0.8333 0.8333 0.6665
N 0.4033 0.4033 0.8065
N 0.5967 0.5967 0.1935

***

(3)
The following is a PBE calculation of Cs2NaAgF after structural relaxation, from the Alexandria database.

Output
Energy relative to the elements, uncorrected   -936 meV/atom
SG   No. 123
E   -12.43 eV per formula unit

Cell lengths 6.1589, 6.1589, 4.9392 Å; angles 90.00, 90.00, 90.00 degrees
Sites, in units of the cell vectors:
Cs 0.0000 0.5000 0.0000
Cs 0.5000 0.0000 0.0000
Na 0.0000 0.0000 0.5000
Ag 0.5000 0.5000 0.5000
F 0.0000 0.0000 0.0000

***

(4)
The following is a PBE calculation of MgMo2Se after structural relaxation, from the Alexandria database.

Output
Energy relative to the elements, uncorrected   87 meV/atom
E above lowest polymorph   60.6 meV/atom
SG   No. 160
E   -26.39 eV per formula unit

Cell lengths 8.6214, 8.6214, 8.6214 Å; angles 21.32, 21.32, 21.32 degrees
Sites, in units of the cell vectors:
Mg 0.7491 0.7491 0.7491
Mo 0.9892 0.9892 0.9892
Mo 0.2531 0.2531 0.2531
Se 0.5086 0.5086 0.5086